Model A:
Entry from the Alexandria database: crystalline NaCaAsO4 at its relaxed geometry (GGA-PBEsol).

```
NaCaAsO4
1.0
2.9157 -4.6267 0.0000
2.9157 4.6267 0.0000
0.0000 0.0000 7.1397
Na Ca As O
2 2 2 8
Direct
0.1792 0.8208 0.7500 Na
0.8208 0.1792 0.2500 Na
0.5000 0.5000 0.0000 Ca
0.5000 0.5000 0.5000 Ca
0.1517 0.8483 0.2500 As
0.8483 0.1517 0.7500 As
0.1983 0.2757 0.7500 O
0.2566 0.7434 0.0556 O
0.2566 0.7434 0.4444 O
0.2757 0.1983 0.2500 O
0.7243 0.8017 0.7500 O
0.7434 0.2566 0.5556 O
0.7434 0.2566 0.9444 O
0.8017 0.7243 0.2500 O
```

## Properties
Crystal system ... orthorhombic

Model B:
Entry from the Alexandria database: crystalline NaCaAsO4 at its relaxed geometry (GGA-PBEsol).

```
NaCaAsO4
1.0
11.4966 0.0000 0.0000
0.0000 6.6352 0.0000
0.0000 0.0000 5.2447
Na Ca As O
4 4 4 16
Direct
0.0000 0.0000 0.0000 Na
0.0000 0.5000 0.0000 Na
0.5000 0.0000 0.5000 Na
0.5000 0.5000 0.5000 Na
0.2200 0.2500 0.4959 Ca
0.2800 0.7500 0.9959 Ca
0.7200 0.2500 0.0041 Ca
0.7800 0.7500 0.5041 Ca
0.0981 0.7500 0.4335 As
0.4019 0.2500 0.9335 As
0.5981 0.7500 0.0665 As
0.9019 0.2500 0.5665 As
0.0406 0.2500 0.6853 O
0.1042 0.7500 0.7575 O
0.1688 0.5484 0.2941 O
0.1688 0.9516 0.2941 O
0.3312 0.0484 0.7941 O
0.3312 0.4516 0.7941 O
0.3958 0.2500 0.2575 O
0.4594 0.7500 0.1853 O
0.5406 0.2500 0.8147 O
0.6042 0.7500 0.7425 O
0.6688 0.5484 0.2059 O
0.6688 0.9516 0.2059 O
0.8312 0.0484 0.7059 O
0.8312 0.4516 0.7059 O
0.8958 0.2500 0.2425 O
0.9594 0.7500 0.3147 O
```

## Properties
Crystal system ... orthorhombic

Of the structures shown above, model B is the most stable.